No. 1
Computed, not measured: an optimized crystal structure of YSi3C at the PBE level of DFT.

Unit cell a=4.266 b=4.266 c=4.266 alpha=90.00 beta=90.00 gamma=90.00
Atoms (fractional coordinates):
C  0.000  0.000  0.000
Si  0.000  0.500  0.000
Si  0.000  0.000  0.500
Si  0.500  0.000  0.000
Y  0.500  0.500  0.500

Values from the calculation:
For the density of states at the Fermi level, the calculation gives 3.1 states/eV/cell. Its calculated density is 3.96 g cm⁻³. As for the energy above the most stable polymorph in this dataset: 0 meV/atom. The value obtained for the total DFT energy (no corrections) is -29.23 eV/cell.

***

No. 2
Computed, not measured: an optimized crystal structure of YEr4Hg at the PBE level of DFT.

Unit cell a=6.308 b=8.919 c=8.142 alpha=113.15 beta=99.72 gamma=113.52
Atoms (fractional coordinates):
Er  0.244  0.287  0.377
Er  0.037  0.160  0.755
Er  0.756  0.713  0.623
Er  0.963  0.840  0.245
Er  0.782  0.404  0.245
Er  0.367  0.910  0.623
Er  0.633  0.090  0.377
Er  0.218  0.596  0.755
Hg  0.749  0.999  0.999
Hg  0.251  0.001  0.001
Y  0.658  0.408  0.817
Y  0.342  0.592  0.183

Values from the calculation:
For the density of states at the Fermi level, the calculation gives 16.1 states/eV/cell. Its calculated density is 8.94 g cm⁻³. As for the energy above the most stable polymorph in this dataset: 96 meV/atom. The value obtained for the total DFT energy (no corrections) is -50.57 eV/cell.

***

No. 3
Computed, not measured: an optimized crystal structure of LiCa2As at the PBE level of DFT.

Unit cell a=8.421 b=8.421 c=6.907 alpha=52.44 beta=52.44 gamma=90.00
Atoms (fractional coordinates):
Li  0.250  0.750  0.500
Li  0.500  0.500  0.000
Ca  0.875  0.925  0.750
Ca  0.375  0.325  0.750
Ca  0.675  0.125  0.250
Ca  0.075  0.625  0.250
As  0.000  0.000  0.000
As  0.750  0.250  0.500

Values from the calculation:
For the density of states at the Fermi level, the calculation gives 3.9 states/eV/cell. Its calculated density is 2.17 g cm⁻³. The value obtained for the total DFT energy (no corrections) is -23.95 eV/cell.

***

No. 4
Computed, not measured: an optimized crystal structure of CsS2N4 at the PBE level of DFT.

Unit cell a=4.452 b=20.520 c=10.905 alpha=138.35 beta=46.22 gamma=162.13
Atoms (fractional coordinates):
S  0.435  0.437  0.000
S  0.565  0.563  0.000
N  0.601  0.014  0.442
N  0.159  0.572  0.558
N  0.841  0.428  0.442
N  0.399  0.986  0.558
Cs  0.000  0.000  0.000

Values from the calculation:
For the density of states at the Fermi level, the calculation gives 1.8 states/eV/cell. Its calculated density is 2.08 g cm⁻³. The value obtained for the total DFT energy (no corrections) is -43.90 eV/cell.

***

No. 5
Computed, not measured: an optimized crystal structure of KMoAs2 at the PBE level of DFT.

Unit cell a=5.327 b=2.863 c=5.326 alpha=90.00 beta=90.00 gamma=90.00
Atoms (fractional coordinates):
K  0.000  0.500  0.375
Mo  0.500  0.000  0.875
As  0.500  0.000  0.375
As  0.000  0.000  0.875

Values from the calculation:
For the density of states at the Fermi level, the calculation gives 2.8 states/eV/cell. Its calculated density is 5.82 g cm⁻³. As for the energy above the most stable polymorph in this dataset: 561 meV/atom. The value obtained for the total DFT energy (no corrections) is -19.88 eV/cell.

***

No. 6
Computed, not measured: an optimized crystal structure of LiV2Cd at the PBE level of DFT.

Unit cell a=7.332 b=7.332 c=5.702 alpha=49.99 beta=49.99 gamma=90.00
Atoms (fractional coordinates):
Li  0.250  0.750  0.500
Li  0.500  0.500  0.000
V  0.617  0.125  0.250
V  0.875  0.867  0.750
V  0.375  0.383  0.750
V  0.133  0.625  0.250
Cd  0.750  0.250  0.500
Cd  0.000  0.000  0.000

Values from the calculation:
For the density of states at the Fermi level, the calculation gives 8.0 states/eV/cell. Its calculated density is 5.76 g cm⁻³. The value obtained for the total DFT energy (no corrections) is -36.14 eV/cell.

***

- Which of these has the lowest calculated density?
  CsS2N4